Pr3As4Rh4 after structural relaxation. Source: Alexandria, functional PBE.

a b c (Å): 13.033 13.033 13.033
angles (deg): 161.93 161.18 26.21
Sites, in units of the cell vectors:
Pr 0.000 0.000 0.000
Pr 0.353 0.853 0.500
Pr 0.647 0.147 0.500
As 0.193 0.693 0.500
As 0.448 0.448 0.000
As 0.552 0.552 0.000
As 0.807 0.307 0.500
Rh 0.097 0.597 0.500
Rh 0.249 0.249 0.000
Rh 0.751 0.751 0.000
Rh 0.903 0.403 0.500

Calculated density (g cm⁻³): 8.50
Distance to the lowest polymorph of the same formula (eV per atom): 0.000
SG: Immm, No. 71



Pr2As4Rh3 after structural relaxation. Source: Alexandria, functional PBE.

a b c (Å): 8.043 6.867 5.779
angles (deg): 78.47 56.78 44.75
Sites, in units of the cell vectors:
Pr 0.141 0.141 0.859
Pr 0.859 0.859 0.141
As 0.188 0.508 0.492
As 0.492 0.812 0.188
As 0.508 0.188 0.812
As 0.812 0.492 0.508
Rh 0.000 0.000 0.500
Rh 0.500 0.500 0.000
Rh 0.500 0.500 0.500

Calculated density (g cm⁻³): 8.30
Total DFT energy (no corrections) (eV per atom): -6.38
SG: Fmmm, No. 69



Pr2As3Rh5 after structural relaxation. Source: Alexandria, functional PBE.

a b c (Å): 12.983 12.983 6.779
angles (deg): 90.00 90.00 161.38
Sites, in units of the cell vectors:
Pr 0.017 0.983 0.500
Pr 0.322 0.678 0.539
Pr 0.678 0.322 0.039
Pr 0.983 0.017 0.000
As 0.112 0.888 0.261
As 0.279 0.721 0.093
As 0.445 0.555 0.287
As 0.555 0.445 0.787
As 0.721 0.279 0.593
As 0.888 0.112 0.761
Rh 0.099 0.901 0.877
Rh 0.201 0.799 0.387
Rh 0.227 0.773 0.786
Rh 0.375 0.625 0.025
Rh 0.437 0.563 0.658
Rh 0.563 0.437 0.158
Rh 0.625 0.375 0.525
Rh 0.773 0.227 0.286
Rh 0.799 0.201 0.887
Rh 0.901 0.099 0.377

Calculated density (g cm⁻³): 9.29
Total DFT energy (no corrections) (eV per atom): -6.75
SG: Cmc2_1, No. 36



PrAs2Rh after structural relaxation. Source: Alexandria, functional PBE.

a b c (Å): 6.111 6.111 6.111
angles (deg): 39.26 39.26 39.26
Sites, in units of the cell vectors:
Pr 0.000 0.000 0.000
As 0.227 0.227 0.227
As 0.773 0.773 0.773
Rh 0.500 0.500 0.500

Calculated density (g cm⁻³): 7.95
Total DFT energy (no corrections) (eV per atom): -6.27
SG: R-3m, No. 166



Pr4As6Rh7 after structural relaxation. Source: Alexandria, functional PBE.

a b c (Å): 7.450 7.450 7.450
angles (deg): 109.47 109.47 109.47
Sites, in units of the cell vectors:
Pr 0.000 0.000 0.500
Pr 0.000 0.500 0.000
Pr 0.500 0.000 0.000
Pr 0.500 0.500 0.500
As 0.000 0.325 0.325
As 0.000 0.675 0.675
As 0.325 0.000 0.325
As 0.325 0.325 0.000
As 0.675 0.000 0.675
As 0.675 0.675 0.000
Rh 0.000 0.000 0.000
Rh 0.250 0.500 0.750
Rh 0.250 0.750 0.500
Rh 0.500 0.250 0.750
Rh 0.500 0.750 0.250
Rh 0.750 0.250 0.500
Rh 0.750 0.500 0.250

Calculated density (g cm⁻³): 9.04
Total DFT energy (no corrections) (eV per atom): -6.72
SG: Im-3m, No. 229



Pr2As3Rh6 after structural relaxation. Source: Alexandria, functional PBE.

a b c (Å): 7.286 7.286 4.358
angles (deg): 90.00 90.00 120.00
Sites, in units of the cell vectors:
Pr 0.333 0.667 0.000
Pr 0.667 0.333 0.000
As 0.000 0.617 0.500
As 0.383 0.383 0.500
As 0.617 0.000 0.500
Rh 0.000 0.275 0.500
Rh 0.000 0.785 0.000
Rh 0.215 0.215 0.000
Rh 0.275 0.000 0.500
Rh 0.725 0.725 0.500
Rh 0.785 0.000 0.000

Calculated density (g cm⁻³): 9.31
Total DFT energy (no corrections) (eV per atom): -6.86
SG: P-62m, No. 189



PrAs2Rh after structural relaxation. Source: Alexandria, functional PBE.

a b c (Å): 5.876 5.874 4.160
angles (deg): 69.29 69.24 41.47
Sites, in units of the cell vectors:
Pr 0.000 0.000 0.000
As 0.372 0.372 0.628
As 0.628 0.628 0.372
Rh 0.250 0.250 0.250

Calculated density (g cm⁻³): 7.43
Total DFT energy (no corrections) (eV per atom): -6.25
SG: F222, No. 22



PrAs3Rh4 after structural relaxation. Source: Alexandria, functional PBE.

a b c (Å): 4.089 4.089 8.495
angles (deg): 90.00 90.00 90.00
Sites, in units of the cell vectors:
Pr 0.000 0.000 0.000
As 0.000 0.000 0.500
As 0.500 0.500 0.167
As 0.500 0.500 0.833
Rh 0.000 0.500 0.329
Rh 0.000 0.500 0.671
Rh 0.500 0.000 0.329
Rh 0.500 0.000 0.671

Calculated density (g cm⁻³): 9.09
Total DFT energy (no corrections) (eV per atom): -6.73
SG: P4/mmm, No. 123



Pr2AsRh3 after structural relaxation. Source: Alexandria, functional PBE.

a b c (Å): 5.235 5.235 5.235
angles (deg): 65.80 65.80 65.80
Sites, in units of the cell vectors:
Pr 0.125 0.125 0.125
Pr 0.875 0.875 0.875
As 0.500 0.500 0.500
Rh 0.000 0.500 0.500
Rh 0.500 0.000 0.500
Rh 0.500 0.500 0.000

Calculated density (g cm⁻³): 9.68
Total DFT energy (no corrections) (eV per atom): -6.83
SG: R-3m, No. 166



PrAs3Rh5 after structural relaxation. Source: Alexandria, functional PBE.

a b c (Å): 6.604 6.604 12.574
angles (deg): 90.00 90.00 144.76
Sites, in units of the cell vectors:
Pr 0.156 0.844 0.750
Pr 0.844 0.156 0.250
As 0.110 0.890 0.250
As 0.386 0.614 0.046
As 0.386 0.614 0.454
As 0.614 0.386 0.546
As 0.614 0.386 0.954
As 0.890 0.110 0.750
Rh 0.000 0.000 0.000
Rh 0.000 0.000 0.500
Rh 0.204 0.796 0.075
Rh 0.204 0.796 0.425
Rh 0.442 0.558 0.641
Rh 0.442 0.558 0.859
Rh 0.558 0.442 0.141
Rh 0.558 0.442 0.359
Rh 0.796 0.204 0.575
Rh 0.796 0.204 0.925

Calculated density (g cm⁻³): 9.24
Total DFT energy (no corrections) (eV per atom): -6.80
SG: Cmcm, No. 63



PrAs2RuRh after structural relaxation. Source: Alexandria, functional PBE.

a b c (Å): 6.314 6.314 6.314
angles (deg): 141.94 141.94 54.91
Sites, in units of the cell vectors:
Pr 0.000 0.000 0.000
As 0.370 0.370 0.000
As 0.630 0.630 0.000
Ru 0.250 0.750 0.500
Rh 0.750 0.250 0.500

Calculated density (g cm⁻³): 8.65
Total DFT energy (no corrections) (eV per atom): -6.94
SG: I-4m2, No. 119



PrAs2RuRh5 after structural relaxation. Source: Alexandria, functional PBE.

a b c (Å): 3.992 3.992 10.967
angles (deg): 90.00 90.00 90.00
Sites, in units of the cell vectors:
Pr 0.000 0.000 0.000
As 0.500 0.500 0.218
As 0.500 0.500 0.782
Ru 0.500 0.500 0.500
Rh 0.000 0.500 0.355
Rh 0.000 0.500 0.645
Rh 0.500 0.000 0.355
Rh 0.500 0.000 0.645
Rh 0.500 0.500 0.000

Calculated density (g cm⁻³): 8.61
Total DFT energy (no corrections) (eV per atom): -6.75
SG: P4/mmm, No. 123



Pr2As4RuRh3 after structural relaxation. Source: Alexandria, functional PBE.

a b c (Å): 4.299 4.299 10.059
angles (deg): 90.00 90.00 90.00
Sites, in units of the cell vectors:
Pr 0.000 0.500 0.245
Pr 0.500 0.000 0.755
As 0.000 0.000 0.000
As 0.000 0.500 0.632
As 0.500 0.000 0.368
As 0.500 0.500 0.000
Ru 0.000 0.000 0.500
Rh 0.000 0.500 0.877
Rh 0.500 0.000 0.123
Rh 0.500 0.500 0.500

Calculated density (g cm⁻³): 8.86
Total DFT energy (no corrections) (eV per atom): -6.84
SG: P-4m2, No. 115



Pr6As2RhS3 after structural relaxation. Source: Alexandria, functional PBE.

a b c (Å): 9.379 9.379 8.456
angles (deg): 102.79 102.79 25.77
Sites, in units of the cell vectors:
Pr 0.001 0.001 0.255
Pr 0.333 0.333 0.915
Pr 0.336 0.336 0.419
Pr 0.664 0.664 0.581
Pr 0.667 0.667 0.085
Pr 0.999 0.999 0.745
As 0.166 0.166 0.834
As 0.834 0.834 0.166
Rh 0.500 0.500 0.500
S 0.169 0.169 0.334
S 0.500 0.500 0.000
S 0.831 0.831 0.666

Calculated density (g cm⁻³): 6.30
ΔE_f (raw) (meV/atom): -1590
SG: C2/m, No. 12



Pr2SbAs3Rh4 after structural relaxation. Source: Alexandria, functional PBE.

a b c (Å): 4.325 4.325 10.396
angles (deg): 90.00 90.00 90.00
Sites, in units of the cell vectors:
Pr 0.000 0.500 0.241
Pr 0.500 0.000 0.759
Sb 0.000 0.000 0.500
As 0.000 0.500 0.868
As 0.500 0.000 0.132
As 0.500 0.500 0.500
Rh 0.000 0.000 0.000
Rh 0.000 0.500 0.635
Rh 0.500 0.000 0.365
Rh 0.500 0.500 0.000

Calculated density (g cm⁻³): 8.88
ΔE_f (raw) (meV/atom): -864
SG: P-4m2, No. 115



Pr3SbAs2Rh9 after structural relaxation. Source: Alexandria, functional PBE.

a b c (Å): 6.302 6.302 9.305
angles (deg): 90.00 90.00 120.00
Sites, in units of the cell vectors:
Pr 0.000 0.000 0.000
Pr 0.333 0.667 0.720
Pr 0.667 0.333 0.280
Sb 0.000 0.000 0.500
As 0.333 0.667 0.168
As 0.667 0.333 0.832
Rh 0.000 0.500 0.000
Rh 0.144 0.288 0.276
Rh 0.144 0.856 0.276
Rh 0.288 0.144 0.724
Rh 0.500 0.000 0.000
Rh 0.500 0.500 0.000
Rh 0.712 0.856 0.276
Rh 0.856 0.144 0.724
Rh 0.856 0.712 0.724

Calculated density (g cm⁻³): 8.41
ΔE_f (raw) (meV/atom): -446
SG: P-3m1, No. 164



PrSbAs2Rh5 after structural relaxation. Source: Alexandria, functional PBE.

a b c (Å): 4.107 4.107 10.650
angles (deg): 90.00 90.00 90.00
Sites, in units of the cell vectors:
Pr 0.000 0.000 0.000
Sb 0.000 0.000 0.500
As 0.500 0.500 0.223
As 0.500 0.500 0.777
Rh 0.000 0.500 0.343
Rh 0.000 0.500 0.657
Rh 0.500 0.000 0.343
Rh 0.500 0.000 0.657
Rh 0.500 0.500 0.000

Calculated density (g cm⁻³): 8.57
ΔE_f (raw) (meV/atom): -556
SG: P4/mmm, No. 123



PrSbAsRh2 after structural relaxation. Source: Alexandria, functional PBE.

a b c (Å): 6.956 6.956 7.351
angles (deg): 90.00 90.00 143.23
Sites, in units of the cell vectors:
Pr 0.087 0.913 0.750
Pr 0.913 0.087 0.250
Sb 0.208 0.792 0.250
Sb 0.792 0.208 0.750
As 0.500 0.500 0.000
As 0.500 0.500 0.500
Rh 0.318 0.682 0.550
Rh 0.318 0.682 0.950
Rh 0.682 0.318 0.050
Rh 0.682 0.318 0.450

Calculated density (g cm⁻³): 8.48
ΔE_f (raw) (meV/atom): -741
SG: Cmcm, No. 63



PrSbAsRh3 after structural relaxation. Source: Alexandria, functional PBE.

a b c (Å): 8.498 8.498 5.701
angles (deg): 90.00 90.00 140.10
Sites, in units of the cell vectors:
Pr 0.198 0.802 0.750
Pr 0.802 0.198 0.250
Sb 0.400 0.600 0.250
Sb 0.600 0.400 0.750
As 0.088 0.912 0.250
As 0.912 0.088 0.750
Rh 0.239 0.761 0.250
Rh 0.243 0.243 0.000
Rh 0.243 0.243 0.500
Rh 0.757 0.757 0.000
Rh 0.757 0.757 0.500
Rh 0.761 0.239 0.750

Calculated density (g cm⁻³): 8.13
ΔE_f (raw) (meV/atom): -619
SG: Cmcm, No. 63



Pr2ScAs3Rh4 after structural relaxation. Source: Alexandria, functional PBE.

a b c (Å): 4.127 4.127 11.168
angles (deg): 90.00 90.00 90.00
Sites, in units of the cell vectors:
Pr 0.000 0.500 0.232
Pr 0.500 0.000 0.768
Sc 0.000 0.000 0.500
As 0.000 0.500 0.868
As 0.500 0.000 0.132
As 0.500 0.500 0.500
Rh 0.000 0.000 0.000
Rh 0.000 0.500 0.647
Rh 0.500 0.000 0.353
Rh 0.500 0.500 0.000

Calculated density (g cm⁻³): 8.41
Total DFT energy (no corrections) (eV per atom): -6.91
SG: P-4m2, No. 115



Pr2ScAs4Rh3 after structural relaxation. Source: Alexandria, functional PBE.

a b c (Å): 4.315 4.315 10.601
angles (deg): 90.00 90.00 90.00
Sites, in units of the cell vectors:
Pr 0.000 0.500 0.230
Pr 0.500 0.000 0.770
Sc 0.000 0.000 0.500
As 0.000 0.000 0.000
As 0.000 0.500 0.649
As 0.500 0.000 0.351
As 0.500 0.500 0.000
Rh 0.000 0.500 0.885
Rh 0.500 0.000 0.115
Rh 0.500 0.500 0.500

Calculated density (g cm⁻³): 7.87
Total DFT energy (no corrections) (eV per atom): -6.66
SG: P-4m2, No. 115



PrAsRhSe after structural relaxation. Source: Alexandria, functional PBE.

a b c (Å): 4.147 4.147 9.852
angles (deg): 90.00 90.00 90.00
Sites, in units of the cell vectors:
Pr 0.250 0.250 0.236
Pr 0.750 0.750 0.764
As 0.250 0.250 0.646
As 0.750 0.750 0.354
Rh 0.250 0.750 0.500
Rh 0.750 0.250 0.500
Se 0.250 0.750 0.000
Se 0.750 0.250 0.000

Calculated density (g cm⁻³): 7.79
ΔE_f (raw) (meV/atom): -1038
SG: P4/nmm, No. 129